# PBE-GGA FeICl3, relaxed
data_FeICl3
_cell_length_a 4.924
_cell_length_b 4.924
_cell_length_c 4.924
_cell_angle_alpha 90.00
_cell_angle_beta 90.00
_cell_angle_gamma 90.00
_symmetry_space_group_name_H-M 'P m -3 m'
_symmetry_Int_Tables_number 221
_symmetry_space_group_name_Hall '-P 4 2 3'
loop_
_atom_site_label
_atom_site_fract_x
_atom_site_fract_y
_atom_site_fract_z
Fe1 0.000 0.000 0.000
I1 0.500 0.500 0.500
Cl1 0.000 0.000 0.500
# - Offset from the most stable computed form: 302.1 meV/atom
# - Electronic total energy: -0.12017 hartree per atom

---

# PBE-GGA Fe3I9Cl, relaxed
data_Fe3I9Cl
_cell_length_a 19.374
_cell_length_b 11.949
_cell_length_c 13.801
_cell_angle_alpha 90.00
_cell_angle_beta 122.50
_cell_angle_gamma 90.00
_symmetry_space_group_name_H-M 'C 1 c 1'
_symmetry_Int_Tables_number 9
_symmetry_space_group_name_Hall 'C -2yc'
loop_
_atom_site_label
_atom_site_fract_x
_atom_site_fract_y
_atom_site_fract_z
Fe1 0.000 0.058 0.000
Fe2 0.111 0.345 0.906
Fe3 0.220 0.110 0.764
I1 0.001 0.107 0.391
I2 0.071 0.453 0.368
I3 0.128 0.072 0.215
I4 0.130 0.291 0.733
I5 0.236 0.307 0.096
I6 0.258 0.102 0.616
I7 0.346 0.095 0.960
I8 0.372 0.461 0.503
I9 0.481 0.250 0.392
Cl1 0.316 0.283 0.565
# - Electronic total energy: -0.12054 hartree per atom

---

# PBE-GGA Fe2ICl8, relaxed
data_Fe2ICl8
_cell_length_a 13.368
_cell_length_b 8.341
_cell_length_c 7.232
_cell_angle_alpha 90.00
_cell_angle_beta 100.40
_cell_angle_gamma 90.00
_symmetry_space_group_name_H-M 'C 1 2/m 1'
_symmetry_Int_Tables_number 12
_symmetry_space_group_name_Hall '-C 2y'
loop_
_atom_site_label
_atom_site_fract_x
_atom_site_fract_y
_atom_site_fract_z
Fe1 0.203 0.000 0.168
I1 0.000 0.000 0.500
Cl1 0.128 0.200 0.294
Cl2 0.135 0.500 0.761
Cl3 0.162 0.000 0.863
# - Electronic total energy: -0.12831 hartree per atom

---

# PBE-GGA Fe6ICl12, relaxed
data_Fe6ICl12
_cell_length_a 12.7720
_cell_length_b 12.7720
_cell_length_c 10.9111
_cell_angle_alpha 90.00
_cell_angle_beta 90.00
_cell_angle_gamma 120.00
_symmetry_space_group_name_H-M 'R -3 m'
_symmetry_Int_Tables_number 166
_symmetry_space_group_name_Hall '-R 3 2"'
loop_
_atom_site_label
_atom_site_fract_x
_atom_site_fract_y
_atom_site_fract_z
Fe1 0.0895 0.1790 0.2794
I1 0.0000 0.0000 0.5000
Cl1 0.0000 0.3775 0.0000
Cl2 0.0872 0.1745 0.8357
# - Electronic total energy: -0.16389 hartree per atom